A geometry-optimized Li2LaPb2 structure. Source: the Alexandria database, functional GGA-PBE.

abc: 8.657 8.657 3.276
angles: 90.00 90.00 90.00
Fractional positions:
Pb 0.677 0.823 0.500
Pb 0.177 0.677 0.500
Li 0.615 0.115 0.000
Pb 0.823 0.323 0.500
La 0.500 0.500 0.000
Li 0.385 0.885 0.000
La 0.000 0.000 0.000
Pb 0.323 0.177 0.500
Li 0.885 0.615 0.000
Li 0.115 0.385 0.000

Results
Magnetic moment, μB per cell: 0.00
Energy of formation, eV/atom: -0.403
Final energy, eV/cell: -36.37



A geometry-optimized LiLa2Pb structure. Source: the Alexandria database, functional GGA-PBE.

abc: 3.611 4.769 6.951
angles: 90.00 90.00 90.00
Fractional positions:
Li 0.000 0.000 0.519
La 0.000 0.000 0.992
Pb 0.500 0.500 0.739
La 0.500 0.500 0.250

Results
Magnetic moment, μB per cell: 0.00
Energy of formation, eV/atom: -0.194
Final energy, eV/cell: -16.25



A geometry-optimized Li4LaPb4 structure. Source: the Alexandria database, functional GGA-PBE.

abc: 6.795 6.795 9.681
angles: 90.00 90.00 90.00
Fractional positions:
Li 0.276 0.000 0.584
Pb 0.500 0.224 0.792
Li 0.500 0.776 0.084
Li 0.000 0.724 0.416
Li 0.000 0.276 0.416
Pb 0.000 0.276 0.708
Pb 0.276 0.000 0.292
Pb 0.000 0.724 0.708
La 0.000 0.000 0.000
Li 0.500 0.224 0.084
Li 0.724 0.000 0.584
La 0.500 0.500 0.500
Li 0.776 0.500 0.916
Pb 0.500 0.776 0.792
Pb 0.776 0.500 0.208
Li 0.224 0.500 0.916
Pb 0.224 0.500 0.208
Pb 0.724 0.000 0.292

Results
Magnetic moment, μB per cell: 0.00
Energy of formation, eV/atom: -0.291
Final energy, eV/cell: -60.08